SmScBi: optimized geometry, PBE-GGA.

```
6
Lattice="4.4729 0.0000 0.0000 0.0000 4.4729 0.0000 0.0000 0.0000 8.4797" Properties=species:S:1:pos:R:3 pbc="T T T"
Sc 0.0000 0.0000 4.2399
Sc 2.2364 2.2364 4.2399
Sm 2.2364 0.0000 1.2973
Sm 0.0000 2.2364 7.1824
Bi 2.2364 0.0000 6.4653
Bi 0.0000 2.2364 2.0144
```

Output
Magnetic moment   0.50 Bohr magnetons per cell
Energy of formation   -0.6573 eV/atom